This record from Alexandria describes KBe2InF8 after structural relaxation. The functional is PBE.

Output
ΔE_f (raw) = -2.963 eV per atom

a b c (Å): 4.9606 4.9606 8.0233
angles (deg): 87.02 87.02 66.57
Closest atoms and distances in Å follow each position.
Atoms (fractional coordinates):
F (0.6986, 0.6986, 0.3826)  1 Be 1.49
F (0.3014, 0.3014, 0.6174)  1 Be 1.49
Be (0.6283, 0.6283, 0.2168)  4 F 1.49-1.60
F (0.2810, 0.7568, 0.1923)  1 Be 1.60
Be (0.3717, 0.3717, 0.7832)  4 F 1.49-1.60
F (0.7190, 0.2432, 0.8077)  1 Be 1.60
F (0.2432, 0.7190, 0.8077)  1 Be 1.60
F (0.2490, 0.2490, 0.9440)  1 Be 1.59
In (0.0000, 0.0000, 0.0000)  6 F 2.09-2.11
F (0.7568, 0.2810, 0.1923)  1 Be 1.60
K (0.0000, 0.0000, 0.5000)  6 F 2.73-2.85
F (0.7510, 0.7510, 0.0560)  1 Be 1.59